[1]
Ag25Bi3O18 | PBEsol | relaxed

Properties
formation energy without anion corrections: -0.26 eV/atom
electronic total energy: -4.389 eV/atom

Cell lengths 11.4983, 11.4983, 6.2080 Å; angles 90.00, 90.00, 120.00 degrees
Space group P-3 (No. 147)
Unique sites:
1 Ag 0.0000 0.0000 0.0000
2 Ag 0.0000 0.5000 0.0000
3 Ag 0.0000 0.5000 0.5000
4 Ag 0.0205 0.2710 0.8442
5 Ag 0.0463 0.7409 0.6695
6 Ag 0.2361 0.4839 0.2541
7 Bi 0.0000 0.0000 0.5000
8 Bi 0.3333 0.6667 0.7741
9 O 0.0787 0.1760 0.2875
10 O 0.1586 0.4677 0.9449
11 O 0.1809 0.6757 0.5564

=====

[2]
FeCo5 | PBEsol | relaxed

Properties
electronic total energy: -7.863 eV/atom

Cell lengths 3.9140, 3.9140, 4.8126 Å; angles 90.00, 90.00, 120.00 degrees
Space group P-3m1 (No. 164)
Unique sites:
1 Fe 0.0000 0.0000 0.0000
2 Co 0.0000 0.0000 0.5000
3 Co 0.3333 0.6667 0.3453
4 Co 0.3333 0.6667 0.8412

=====

[3]
OsSe2Cl | PBEsol | relaxed

Properties
formation energy without anion corrections: 0.02 eV/atom
electronic total energy: -5.461 eV/atom
E above lowest polymorph: 0.00 eV per formula unit

Cell lengths 3.5035, 3.5035, 21.7473 Å; angles 90.00, 90.00, 120.00 degrees
Space group R-3m (No. 166, hexagonal axes)
Unique sites:
1 Os 0.0000 0.0000 0.0000
2 Se 0.0000 0.0000 0.2666
3 Cl 0.0000 0.0000 0.5000

=====

[4]
Na3SrLa | PBEsol | relaxed

Properties
electronic total energy: -1.487 eV/atom

Cell lengths 6.029, 6.029, 6.029 Å; angles 90.00, 90.00, 90.00 degrees
Space group Pm-3m (No. 221)
Unique sites:
1 Na 0.000 0.000 0.500
2 Sr 0.000 0.000 0.000
3 La 0.500 0.500 0.500

=====

[5]
MgAuBr2 | PBEsol | relaxed

Properties
formation energy without anion corrections: -0.52 eV/atom
electronic total energy: -2.862 eV/atom
E above lowest polymorph: 0.00 eV per formula unit

Cell lengths 3.9195, 3.9195, 23.1244 Å; angles 90.00, 90.00, 120.00 degrees
Space group R3m (No. 160, hexagonal axes)
Unique sites:
1 Mg 0.0000 0.0000 0.0000
2 Au 0.0000 0.0000 0.2631
3 Br 0.0000 0.0000 0.5327
4 Br 0.0000 0.0000 0.7299

=====

[6]
Y3FePd | PBEsol | relaxed

Properties
electronic total energy: -6.659 eV/atom

Cell lengths 5.271, 5.271, 5.271 Å; angles 90.00, 90.00, 90.00 degrees
Space group Pm-3m (No. 221)
Unique sites:
1 Y 0.000 0.000 0.500
2 Fe 0.500 0.500 0.500
3 Pd 0.000 0.000 0.000

=====

[7]
SrIrAu2 | PBEsol | relaxed

Properties
electronic total energy: -4.745 eV/atom
E above lowest polymorph: 0.58 eV per formula unit

Cell lengths 2.897, 4.282, 6.197 Å; angles 90.00, 90.00, 90.00 degrees
Space group Pmm2 (No. 25)
Unique sites:
1 Sr 0.000 0.000 0.000
2 Ir 0.500 0.500 0.720
3 Au 0.000 0.000 0.518
4 Au 0.500 0.500 0.283

=====

[8]
LiCaMo2As | PBEsol | relaxed

Properties
electronic total energy: -5.577 eV/atom

Cell lengths 4.355, 4.355, 4.341 Å; angles 90.00, 90.00, 90.00 degrees
Space group P4/mmm (No. 123)
Unique sites:
1 Li 0.000 0.000 0.000
2 Ca 0.500 0.500 0.500
3 Mo 0.000 0.500 0.000
4 As 0.000 0.000 0.500

=====

[9]
BeNb3In | PBEsol | relaxed

Properties
electronic total energy: -5.671 eV/atom

Cell lengths 4.949, 4.949, 4.949 Å; angles 90.00, 90.00, 90.00 degrees
Space group Pm-3m (No. 221)
Unique sites:
1 Be 0.000 0.000 0.000
2 Nb 0.000 0.500 0.500
3 In 0.500 0.500 0.500

=====

[10]
AlZn | PBEsol | relaxed

Properties
electronic total energy: -2.779 eV/atom

Cell lengths 2.854, 4.177, 5.319 Å; angles 90.00, 104.66, 90.00 degrees
Space group P2_1/m (No. 11)
Unique sites:
1 Al 0.167 0.250 0.338
2 Zn 0.425 0.250 0.850

=====

[11]
Mg16Al13 | PBEsol | relaxed

Properties
electronic total energy: -2.783 eV/atom
E above lowest polymorph: 0.27 eV per formula unit

Cell lengths 10.443, 10.443, 10.443 Å; angles 90.00, 90.00, 90.00 degrees
Space group I-43m (No. 217)
Unique sites:
1 Mg 0.043 0.357 0.643
2 Mg 0.169 0.169 0.169
3 Al 0.000 0.000 0.000
4 Al 0.091 0.091 0.724

=====

[12]
CsAlP2S | PBEsol | relaxed

Properties
formation energy without anion corrections: 0.09 eV/atom
electronic total energy: -4.115 eV/atom

Cell lengths 4.795, 4.795, 4.899 Å; angles 90.00, 90.00, 90.00 degrees
Space group P4/mmm (No. 123)
Unique sites:
1 Cs 0.000 0.000 0.000
2 Al 0.500 0.500 0.500
3 P 0.000 0.500 0.500
4 S 0.500 0.500 0.000

=====

[13]
SbMo2P | PBEsol | relaxed

Properties
formation energy without anion corrections: 0.41 eV/atom
electronic total energy: -8.063 eV/atom
E above lowest polymorph: 2.02 eV per formula unit

Cell lengths 4.095, 4.095, 17.375 Å; angles 90.00, 90.00, 90.00 degrees
Space group I-42d (No. 122)
Unique sites:
1 Sb 0.000 0.000 0.000
2 Mo 0.178 0.250 0.625
3 P 0.000 0.000 0.500

=====

[14]
Fe2ReIr | PBEsol | relaxed

Properties
electronic total energy: -10.248 eV/atom

Cell lengths 2.611, 2.611, 7.154 Å; angles 90.00, 90.00, 90.00 degrees
Space group P4/mmm (No. 123)
Unique sites:
1 Fe 0.000 0.000 0.249
2 Re 0.500 0.500 0.500
3 Ir 0.500 0.500 0.000

=====

[15]
KSb2P | PBEsol | relaxed

Properties
formation energy without anion corrections: 0.27 eV/atom
electronic total energy: -3.744 eV/atom

Cell lengths 6.305, 10.124, 3.092 Å; angles 90.00, 90.00, 90.00 degrees
Space group Cmmm (No. 65)
Unique sites:
1 K 0.000 0.000 0.000
2 Sb 0.250 0.250 0.500
3 P 0.000 0.500 0.000

=====

[16]
ScCrCl | PBEsol | relaxed

Properties
formation energy without anion corrections: -0.17 eV/atom
electronic total energy: -6.457 eV/atom
E above lowest polymorph: 0.32 eV per formula unit

Cell lengths 3.659, 5.002, 12.190 Å; angles 90.00, 90.00, 90.00 degrees
Space group Fmm2 (No. 42)
Unique sites:
1 Sc 0.000 0.000 0.000
2 Cr 0.000 0.000 0.660
3 Cl 0.000 0.000 0.348

=====

[17]
BeCu2PI | PBEsol | relaxed

Properties
formation energy without anion corrections: 0.73 eV/atom
electronic total energy: -3.319 eV/atom

Cell lengths 4.200, 4.200, 6.173 Å; angles 90.00, 90.00, 90.00 degrees
Space group P4/mmm (No. 123)
Unique sites:
1 Be 0.000 0.000 0.000
2 Cu 0.000 0.500 0.500
3 P 0.500 0.500 0.500
4 I 0.500 0.500 0.000

=====

[18]
ZrSb2S2 | PBEsol | relaxed

Properties
formation energy without anion corrections: 0.01 eV/atom
electronic total energy: -5.380 eV/atom

Cell lengths 7.554, 7.554, 3.918 Å; angles 90.00, 90.00, 90.00 degrees
Space group P4/mbm (No. 127)
Unique sites:
1 Zr 0.000 0.000 0.000
2 Sb 0.138 0.362 0.000
3 S 0.190 0.690 0.500

=====

[19]
NaHfNi3 | PBEsol | relaxed

Properties
electronic total energy: -5.106 eV/atom

Cell lengths 4.607, 4.607, 4.607 Å; angles 90.00, 90.00, 90.00 degrees
Space group Pm-3m (No. 221)
Unique sites:
1 Na 0.000 0.000 0.000
2 Hf 0.500 0.500 0.500
3 Ni 0.000 0.500 0.500

=====

[20]
FeSb3 | PBEsol | relaxed

Properties
formation energy without anion corrections: 0.57 eV/atom
electronic total energy: -5.092 eV/atom
E above lowest polymorph: 2.52 eV per formula unit

Cell lengths 5.052, 5.052, 3.502 Å; angles 90.00, 90.00, 90.00 degrees
Space group P4/mmm (No. 123)
Unique sites:
1 Fe 0.000 0.000 0.000
2 Sb 0.000 0.500 0.500
3 Sb 0.500 0.500 0.000

=====

[21]
CoAsPb2 | PBEsol | relaxed

Properties
electronic total energy: -4.652 eV/atom

Cell lengths 3.959, 5.065, 8.377 Å; angles 90.00, 90.00, 90.00 degrees
Space group Immm (No. 71)
Unique sites:
1 Co 0.000 0.000 0.000
2 As 0.000 0.000 0.500
3 Pb 0.000 0.500 0.278

=====

[22]
ReAu | PBEsol | relaxed

Properties
electronic total energy: -6.398 eV/atom
E above lowest polymorph: 3.82 eV per formula unit

Cell lengths 5.674, 5.674, 5.674 Å; angles 90.00, 90.00, 90.00 degrees
Space group F-43m (No. 216)
Unique sites:
1 Re 0.000 0.000 0.000
2 Au 0.250 0.250 0.250

=====

[23]
NiSe2Br | PBEsol | relaxed

Properties
formation energy without anion corrections: -0.25 eV/atom
electronic total energy: -4.177 eV/atom
E above lowest polymorph: 0.08 eV per formula unit

Cell lengths 3.5875, 3.5875, 20.5949 Å; angles 90.00, 90.00, 120.00 degrees
Space group R-3m (No. 166, hexagonal axes)
Unique sites:
1 Ni 0.0000 0.0000 0.0000
2 Se 0.0000 0.0000 0.2774
3 Br 0.0000 0.0000 0.5000

=====

[24]
Ho2TlCd | PBEsol | relaxed

Properties
electronic total energy: -3.819 eV/atom

Cell lengths 7.357, 7.357, 7.357 Å; angles 90.00, 90.00, 90.00 degrees
Space group Fm-3m (No. 225)
Unique sites:
1 Ho 0.250 0.250 0.250
2 Tl 0.000 0.000 0.000
3 Cd 0.000 0.000 0.500

=====

[25]
YTc2Os | PBEsol | relaxed

Properties
electronic total energy: -9.885 eV/atom

Cell lengths 3.916, 3.916, 4.275 Å; angles 90.00, 90.00, 90.00 degrees
Space group P4/mmm (No. 123)
Unique sites:
1 Y 0.000 0.000 0.000
2 Tc 0.000 0.500 0.500
3 Os 0.500 0.500 0.000